BaSiTc4 | PBE | optimized geometry

Unit cell a=5.3946 b=5.3946 c=5.3946 alpha=60.00 beta=60.00 gamma=60.00
Closest atoms and distances in Å follow each position.
Element x y z (fractional)
Tc 0.3721 0.3721 0.8836  6 Tc 2.64-2.76
Tc 0.3721 0.8836 0.3721  6 Tc 2.64-2.76
Tc 0.3721 0.3721 0.3721  6 Tc 2.64-2.76
Tc 0.8836 0.3721 0.3721  6 Tc 2.64-2.76
Si 0.0000 0.0000 0.0000  12 Tc 3.16, 4 Ba 3.30
Ba 0.7500 0.7500 0.7500  12 Tc 3.17, 4 Si 3.30

Summary:
The calculation puts the uncorrected formation energy at 0.813 eV/atom.